DFT (PBE) results for Sc6SbAs2S3 after structural relaxation.

Values from the calculation:
Space group: C2/m
Uncorrected formation energy, meV per atom: -1534
Volume, Å³/f.u.: 240.0
Density, g/cm³: 4.41

a b c (Å): 8.5959 8.5959 7.7009
angles (deg): 103.13 103.13 25.70
Last column: nearest neighbours and their distance in Å.
Positions (direct):
1 Sc 0.0006 0.0006 0.2274  3 S 2.59-2.69, 1 As 2.73, 2 Sb 2.84
2 Sc 0.3250 0.3250 0.4125  3 S 2.60-2.72, 2 As 2.71, 1 Sb 2.85
3 Sc 0.3322 0.3322 0.9164  3 As 2.70-2.72, 3 S 2.71-2.74
4 Sc 0.6678 0.6678 0.0836  3 As 2.70-2.72, 3 S 2.71-2.74
5 Sc 0.6750 0.6750 0.5875  3 S 2.60-2.72, 2 As 2.71, 1 Sb 2.85
6 Sc 0.9994 0.9994 0.7726  3 S 2.59-2.69, 1 As 2.73, 2 Sb 2.84
7 Sb 0.5000 0.5000 0.5000  6 Sc 2.84-2.85
8 As 0.1665 0.1665 0.8325  6 Sc 2.70-2.73
9 As 0.8335 0.8335 0.1675  6 Sc 2.70-2.73
10 S 0.1652 0.1652 0.3315  6 Sc 2.60-2.72
11 S 0.5000 0.5000 0.0000  6 Sc 2.59-2.74
12 S 0.8348 0.8348 0.6685  6 Sc 2.60-2.72